No. 1
! PBE BiPdBr3, relaxed; values from VASP
&SYSTEM
  ibrav = 0, nat = 5, ntyp = 3
/
ATOMIC_SPECIES
Br 79.90 Br.upf
Pd 106.42 Pd.upf
Bi 208.98 Bi.upf
CELL_PARAMETERS angstrom
5.150 0.000 0.000
0.000 5.150 0.000
0.000 0.000 5.150
ATOMIC_POSITIONS angstrom
Br 2.575 0.000 0.000
Br 0.000 2.575 0.000
Br 0.000 0.000 2.575
Pd 0.000 0.000 0.000
Bi 2.575 2.575 2.575
! - Excess energy over the best structure of this formula in the dataset: 0.00 eV per formula unit
! - Formation energy from raw total energies: -0.03 eV per atom

---

No. 2
! PBE La2PtO, relaxed; values from VASP
&SYSTEM
  ibrav = 0, nat = 4, ntyp = 3
/
ATOMIC_SPECIES
La 138.91 La.upf
Pt 195.08 Pt.upf
O 16.00 O.upf
CELL_PARAMETERS angstrom
4.414 0.000 0.000
2.207 3.823 0.000
2.207 1.274 7.497
ATOMIC_POSITIONS angstrom
La 6.622 3.823 2.130
La 2.207 1.274 5.367
Pt 4.414 2.549 3.748
O 0.000 0.000 0.000
! - Formation energy from raw total energies: -1.79 eV per atom